Material: PrSm6Hg5
Method: DFT, GGA-PBE
State: relaxed

DOS at the Fermi energy = 15.78 states/eV/cell
V = 28.31 A^3/atom
ΔE_f = -4.078 eV/f.u.
Mass density = 10.000 g cm⁻³
Crystal system = orthorhombic

Cell: 5.3252 7.7948 8.6075 Å, 90.00 71.98 90.00°
Sites, in units of the cell vectors:
Hg1 0.6689 0.5000 0.6622
Hg2 0.6512 0.0000 0.6975
Hg3 0.3488 0.0000 0.3025
Hg4 0.3311 0.5000 0.3378
Hg5 0.0000 0.5000 0.0000
Sm1 0.5000 0.2781 0.0000
Sm2 0.1742 0.2484 0.6516
Sm3 0.5000 0.7219 0.0000
Sm4 0.1742 0.7516 0.6516
Sm5 0.8258 0.7516 0.3484
Sm6 0.8258 0.2484 0.3484
Pr1 0.0000 0.0000 0.0000